[1]
{"formula": "BaAsPdPt", "functional": "PBE", "state": "relaxed", "sg": "Imm2", "energy_ev_per_atom": -5.126, "lattice": [[4.463, 0.000, 0.000], [0.000, 4.481, 0.000], [0.000, 0.000, 9.972]], "species": ["Ba", "Ba", "As", "As", "Pd", "Pd", "Pt", "Pt"], "fractional_positions": [[0.000, 0.000, 0.000], [0.500, 0.500, 0.500], [0.000, 0.500, 0.245], [0.500, 0.000, 0.745], [0.000, 0.000, 0.360], [0.500, 0.500, 0.860], [0.000, 0.000, 0.643], [0.500, 0.500, 0.143]]}

[2]
{"formula": "BaAs2Pd2Pt", "functional": "PBE", "state": "relaxed", "sg": "Pnnm", "energy_ev_per_atom": -5.251, "lattice": [[4.686, 0.000, 0.000], [0.000, 13.108, 0.000], [0.000, 0.000, 4.686]], "species": ["Ba", "Ba", "As", "As", "As", "As", "Pd", "Pd", "Pd", "Pd", "Pt", "Pt"], "fractional_positions": [[0.000, 0.000, 0.000], [0.500, 0.500, 0.500], [0.007, 0.319, 0.000], [0.493, 0.819, 0.500], [0.507, 0.181, 0.500], [0.993, 0.681, 0.000], [0.007, 0.250, 0.500], [0.493, 0.750, 0.000], [0.507, 0.250, 0.000], [0.993, 0.750, 0.500], [0.000, 0.500, 0.000], [0.500, 0.000, 0.500]]}

[3]
{"formula": "BaPuAs2Pd4", "functional": "PBE", "state": "relaxed", "sg": "P4/mmm", "energy_ev_per_atom": -6.341, "lattice": [[4.221, 0.000, 0.000], [0.000, 4.221, 0.000], [0.000, 0.000, 10.331]], "species": ["Ba", "Pu", "As", "As", "Pd", "Pd", "Pd", "Pd"], "fractional_positions": [[0.000, 0.000, 0.000], [0.000, 0.000, 0.500], [0.500, 0.500, 0.176], [0.500, 0.500, 0.824], [0.000, 0.500, 0.303], [0.000, 0.500, 0.697], [0.500, 0.000, 0.303], [0.500, 0.000, 0.697]]}

[4]
{"formula": "BaPuAs2Pd2", "functional": "PBE", "state": "relaxed", "sg": "P-3m1", "energy_ev_per_atom": -6.897, "lattice": [[4.386, 0.000, 0.000], [-2.193, 3.799, 0.000], [0.000, 0.000, 8.480]], "species": ["Ba", "Pu", "As", "As", "Pd", "Pd"], "fractional_positions": [[0.000, 0.000, 0.000], [0.000, 0.000, 0.500], [0.333, 0.667, 0.291], [0.667, 0.333, 0.709], [0.333, 0.667, 0.725], [0.667, 0.333, 0.275]]}

[5]
{"formula": "BaAs2PdRh", "functional": "PBE", "state": "relaxed", "sg": "I-4m2", "energy_ev_per_atom": -5.498, "lattice": [[4.307, 0.000, 0.000], [0.000, 4.307, 0.000], [0.000, 0.000, 12.128]], "species": ["Ba", "Ba", "As", "As", "As", "As", "Pd", "Pd", "Rh", "Rh"], "fractional_positions": [[0.000, 0.000, 0.000], [0.500, 0.500, 0.500], [0.000, 0.000, 0.355], [0.000, 0.000, 0.645], [0.500, 0.500, 0.145], [0.500, 0.500, 0.855], [0.000, 0.500, 0.250], [0.500, 0.000, 0.750], [0.000, 0.500, 0.750], [0.500, 0.000, 0.250]]}

[6]
{"formula": "Ba2SbAsPd6", "functional": "PBE", "state": "relaxed", "sg": "C2/m", "raw_formation_energy_ev_per_atom": -0.641, "energy_ev_per_atom": -5.018, "lattice": [[5.881, -3.394, 0.000], [5.881, 3.394, 0.000], [-3.921, 0.000, 5.921]], "species": ["Ba", "Ba", "Sb", "As", "Pd", "Pd", "Pd", "Pd", "Pd", "Pd"], "fractional_positions": [[0.219, 0.219, 0.157], [0.781, 0.781, 0.843], [0.500, 0.500, 0.000], [0.000, 0.000, 0.500], [0.244, 0.244, 0.653], [0.245, 0.665, 0.654], [0.335, 0.755, 0.346], [0.665, 0.245, 0.654], [0.755, 0.335, 0.346], [0.756, 0.756, 0.347]]}

| no. | size of the total moment (μB/cell) |
| --- | --- |
| 1 | 0.0 |
| 2 | 0.0 |
| 3 | 5.3 |
| 4 | 4.7 |
| 5 | 0.0 |
| 6 | 0.0 |